Density functional theory data (PBE) for an optimized crystal structure of PmNpTaO6.

a b c (Å): 5.6557 5.6557 9.3454
angles (deg): 90.00 90.00 120.00
With the nearest neighbours (Å) after each atom.
Positions (direct):
1 O 0.3126 0.9532 0.6311  1 Ta 2.02
2 O 0.0468 0.6874 0.8689  1 Ta 2.02
3 O 0.9532 0.6407 0.3689  1 Ta 2.02
4 O 0.6407 0.9532 0.8689  1 Ta 2.02
5 O 0.3126 0.3593 0.8689  1 Ta 2.02
6 O 0.0468 0.3593 0.6311  1 Ta 2.02
7 O 0.3593 0.0468 0.1311  1 Ta 2.02
8 O 0.6407 0.6874 0.6311  1 Ta 2.02
9 O 0.3593 0.3126 0.3689  1 Ta 2.02
10 O 0.6874 0.0468 0.3689  1 Ta 2.02
11 O 0.6874 0.6407 0.1311  1 Ta 2.02
12 O 0.9532 0.3126 0.1311  1 Ta 2.02
13 Ta 0.6667 0.3333 0.2500  6 O 2.02
14 Ta 0.3333 0.6667 0.7500  6 O 2.02
15 Np 0.0000 0.0000 0.5000  6 O 2.27
16 Np 0.0000 0.0000 0.0000  6 O 2.27
17 Pm 0.6667 0.3333 0.7500  6 O 2.36
18 Pm 0.3333 0.6667 0.2500  6 O 2.36

Summary:
- Space group: P-31c (163)
- Uncorrected energy: -9.580 eV per atom
- Total moment: 6.00 μB/cell
- Uncorrected formation energy: -2992 meV/atom